# NaAl2BiN

A relaxed structure of NaAl2BiN (GGA-PBE, Alexandria).

Summary:
space group: P4/mmm, No. 123
raw formation energy: 1515 meV/atom

abc: 5.5448 5.5448 6.0682
angles: 90.00 90.00 90.00
Atoms (fractional coordinates):
Na1 0.0000 0.0000 0.0000
Al1 0.0000 0.5000 0.5000
Al2 0.5000 0.0000 0.5000
Bi1 0.0000 0.0000 0.5000
N1 0.5000 0.5000 0.0000

---

# YTaMn2Cu

A relaxed structure of YTaMn2Cu (GGA-PBE, Alexandria).

Summary:
space group: P4/mmm, No. 123
DFT formation energy: 0.767 eV per atom

abc: 4.6281 4.6281 4.9207
angles: 90.00 90.00 90.00
Atoms (fractional coordinates):
Y1 0.0000 0.0000 0.0000
Ta1 0.5000 0.5000 0.5000
Mn1 0.0000 0.5000 0.5000
Mn2 0.5000 0.0000 0.5000
Cu1 0.5000 0.5000 0.0000

---

# Ac5TbTe6

A relaxed structure of Ac5TbTe6 (GGA-PBE, Alexandria).

Summary:
space group: C2/m, No. 12
raw formation energy: -1452 meV/atom

abc: 8.0960 8.0960 8.1068
angles: 99.62 99.62 120.21
Atoms (fractional coordinates):
Ac1 0.0000 0.0000 0.0000
Ac2 0.1646 0.8354 0.5000
Ac3 0.3246 0.6754 0.0000
Ac4 0.6754 0.3246 0.0000
Ac5 0.8354 0.1646 0.5000
Tb1 0.5000 0.5000 0.5000
Te1 0.1038 0.4222 0.2626
Te2 0.2663 0.2663 0.7484
Te3 0.4222 0.1038 0.2626
Te4 0.5778 0.8962 0.7374
Te5 0.7337 0.7337 0.2516
Te6 0.8962 0.5778 0.7374

---

# Ba2NaCaGa

A relaxed structure of Ba2NaCaGa (GGA-PBE, Alexandria).

Summary:
space group: P4/mmm, No. 123
DFT formation energy: -0.059 eV per atom

abc: 6.5688 6.5688 5.9550
angles: 90.00 90.00 90.00
Atoms (fractional coordinates):
Ba1 0.0000 0.5000 0.0000
Ba2 0.5000 0.0000 0.0000
Na1 0.0000 0.0000 0.5000
Ca1 0.5000 0.5000 0.5000
Ga1 0.5000 0.5000 0.0000

---

# Tb4CeY8

A relaxed structure of Tb4CeY8 (GGA-PBE, Alexandria).

Summary:
space group: R-3m, No. 166
DFT formation energy: 0.174 eV per atom

abc: 9.9230 9.9230 9.9230
angles: 43.23 43.23 43.23
Atoms (fractional coordinates):
Tb1 0.0000 0.0000 0.0000
Tb2 0.0000 0.5000 0.5000
Tb3 0.5000 0.0000 0.5000
Tb4 0.5000 0.5000 0.0000
Ce1 0.5000 0.5000 0.5000
Y1 0.1999 0.7442 0.7442
Y2 0.2202 0.2202 0.2202
Y3 0.2558 0.2558 0.8001
Y4 0.2558 0.8001 0.2558
Y5 0.7442 0.1999 0.7442
Y6 0.7442 0.7442 0.1999
Y7 0.7798 0.7798 0.7798
Y8 0.8001 0.2558 0.2558

---

# Ac2La3Hg2

A relaxed structure of Ac2La3Hg2 (GGA-PBE, Alexandria).

Summary:
space group: C2/m, No. 12
DFT formation energy: -0.222 eV per atom
energy relative to the lowest polymorph listed for this composition: 0 meV per atom

abc: 12.8701 4.8234 8.9165
angles: 90.00 114.52 90.00
Atoms (fractional coordinates):
Ac1 0.1456 0.0000 0.3033
Ac2 0.3544 0.5000 0.6967
Ac3 0.6456 0.5000 0.3033
Ac4 0.8544 0.0000 0.6967
La1 0.0000 0.5000 0.5000
La2 0.1240 0.5000 0.9576
La3 0.3760 0.0000 0.0424
La4 0.5000 0.0000 0.5000
La5 0.6240 0.0000 0.9576
La6 0.8760 0.5000 0.0424
Hg1 0.1513 0.0000 0.7129
Hg2 0.3487 0.5000 0.2871
Hg3 0.6513 0.5000 0.7129
Hg4 0.8487 0.0000 0.2871

---

| no. | spin magnetization (μB per atom) | E_tot (Ry per atom) |
| --- | --- | --- |
| 1 | 0.35 | -0.1975 |
| 2 | 1.02 | -0.5427 |
| 3 | 0.00 | -0.3763 |
| 4 | 0.00 | -0.1541 |
| 5 | 0.02 | -0.4178 |
| 6 | 0.00 | -0.2642 |